Record 1
# Cs2MnI2

An optimized crystal structure of Cs2MnI2 (GGA-PBE, Alexandria).

extended XYZ file:
```
5
Lattice="-3.7286 3.7286 7.0881 3.7286 -3.7286 7.0881 3.7286 3.7286 -7.0881" Properties=species:S:1:pos:R:3 pbc="T T T"
Cs 0.0000 0.0000 2.8772
Cs 0.0000 0.0000 11.2990
Mn 0.0000 0.0000 7.0881
I 3.7286 0.0000 3.5441
I 0.0000 3.7286 3.5441
```

Results
**Formation energy without anion corrections**: -1.93 eV/f.u.
**Offset from the most stable computed form**: 77.6 meV per atom

***

Record 2
# CaYTl

An optimized crystal structure of CaYTl (GGA-PBE, Alexandria).

extended XYZ file:
```
6
Lattice="3.7364 0.0000 0.0000 -1.8645 6.9225 0.0000 -0.0160 -2.1236 7.2942" Properties=species:S:1:pos:R:3 pbc="T T T"
Ca -0.0035 1.3691 2.3309
Ca 1.8594 3.4298 4.9633
Y -0.0133 0.2438 6.0809
Y 1.8692 4.5551 1.2133
Tl 1.8682 0.0000 0.0000
Tl 1.8602 -1.0618 3.6471
```

Results
**Offset from the most stable computed form**: 109.4 meV per atom

***

Record 3
# Er6P3PbS2

An optimized crystal structure of Er6P3PbS2 (GGA-PBE, Alexandria).

extended XYZ file:
```
12
Lattice="8.7659 -1.9803 0.0000 8.7659 1.9803 0.0000 -1.8922 0.0000 7.9230" Properties=species:S:1:pos:R:3 pbc="T T T"
Er 17.0997 0.0000 1.7997
Er -1.4602 0.0000 6.1234
Er 4.9117 0.0000 3.3044
Er 4.1414 0.0000 7.2109
Er 11.4981 0.0000 0.7121
Er 10.7278 0.0000 4.6186
P 2.2877 0.0000 2.6230
P 8.7659 0.0000 0.0000
P 13.3518 0.0000 5.3001
Pb 7.8197 0.0000 3.9615
S 1.3966 0.0000 6.6586
S 14.2429 0.0000 1.2645
```

Results
**Formation energy without anion corrections**: -18.39 eV/f.u.

***

Record 4
# AlCu5Ni4

An optimized crystal structure of AlCu5Ni4 (GGA-PBE, Alexandria).

extended XYZ file:
```
10
Lattice="5.9887 -1.9564 0.0000 5.9887 1.9564 0.0000 -0.0390 0.0000 5.5603" Properties=species:S:1:pos:R:3 pbc="T T T"
Al 0.0000 0.0000 0.0000
Cu -0.0195 0.0000 2.7802
Cu 3.8902 0.0000 0.0833
Cu 3.9293 0.0000 2.6546
Cu 8.0091 0.0000 2.9057
Cu 8.0482 0.0000 5.4770
Ni 1.8943 0.0000 1.3984
Ni 5.8241 0.0000 4.1924
Ni 6.1143 0.0000 1.3679
Ni 10.0442 0.0000 4.1619
```

Results
**Total energy**: -4.64 eV/atom